Entry 1:
The following is a PBE calculation of Dy6Er3Th2 after structural relaxation, from Alexandria via LeMat-Bulk.

Cell: 12.477 5.917 10.052 Å, 90.00 90.00 90.00°
Positions (direct):
1 Dy 0.722 0.213 0.839
2 Dy 0.778 0.713 0.339
3 Dy 0.799 0.687 0.000
4 Dy 0.278 0.787 0.161
5 Dy 0.701 0.187 0.500
6 Dy 0.299 0.813 0.500
7 Dy 0.278 0.787 0.839
8 Dy 0.222 0.287 0.339
9 Dy 0.222 0.287 0.661
10 Dy 0.778 0.713 0.661
11 Dy 0.722 0.213 0.161
12 Dy 0.201 0.313 0.000
13 Er 0.000 0.000 0.000
14 Er 0.500 0.000 0.679
15 Er 0.000 0.500 0.179
16 Er 0.500 0.000 0.321
17 Er 0.500 0.500 0.500
18 Er 0.000 0.500 0.821
19 Th 0.947 0.259 0.500
20 Th 0.447 0.241 0.000
21 Th 0.053 0.741 0.500
22 Th 0.553 0.759 0.000

Output
DFT formation energy ... 0.333 eV/atom

Entry 2:
The following is a PBE calculation of Dy4Er7Th after structural relaxation, from Alexandria via LeMat-Bulk.

Cell: 6.930 6.756 12.027 Å, 72.44 44.43 75.84°
Positions (direct):
1 Er 0.745 0.176 0.364
2 Er 0.500 0.000 0.000
3 Er 0.225 0.482 0.024
4 Er 0.255 0.824 0.636
5 Er 0.062 0.322 0.674
6 Er 0.938 0.678 0.326
7 Er 0.775 0.518 0.976
8 Dy 0.547 0.343 0.683
9 Dy 0.453 0.657 0.317
10 Dy 0.724 0.815 0.666
11 Dy 0.276 0.185 0.334
12 Th 0.000 0.000 0.000

Output
DFT formation energy ... 0.086 eV/atom

Entry 3:
The following is a PBE calculation of DyEr6Th after structural relaxation, from Alexandria via LeMat-Bulk.

Cell: 6.648 6.512 6.709 Å, 95.65 60.50 92.24°
Positions (direct):
1 Er 0.530 0.752 0.028
2 Er 0.437 0.240 0.472
3 Er 0.470 0.248 0.972
4 Er 0.563 0.760 0.528
5 Er 0.064 0.745 0.513
6 Er 0.936 0.255 0.487
7 Dy 0.000 0.000 0.000
8 Th 0.000 0.500 0.000

Output
DFT formation energy ... 0.228 eV/atom

Entry 4:
The following is a PBE calculation of Dy10ErTh4 after structural relaxation, from Alexandria via LeMat-Bulk.

Cell: 7.759 9.429 9.429 Å, 80.25 65.71 65.71°
Positions (direct):
1 Th 0.398 0.803 0.400
2 Th 0.798 0.600 0.803
3 Th 0.202 0.400 0.197
4 Th 0.602 0.197 0.600
5 Dy 0.551 0.101 0.299
6 Dy 0.449 0.899 0.701
7 Dy 0.250 0.500 0.500
8 Dy 0.151 0.299 0.899
9 Dy 0.951 0.899 0.701
10 Dy 0.750 0.500 0.500
11 Dy 0.348 0.701 0.101
12 Dy 0.849 0.701 0.101
13 Dy 0.049 0.101 0.299
14 Dy 0.652 0.299 0.899
15 Er 0.000 0.000 0.000

Output
DFT formation energy ... 0.841 eV/atom

Entry 5:
The following is a PBE calculation of DyEr8Th6 after structural relaxation, from Alexandria via LeMat-Bulk.

Cell: 8.712 8.712 8.712 Å, 60.73 60.73 60.73°
Positions (direct):
1 Er 0.803 0.120 0.675
2 Er 0.675 0.803 0.120
3 Er 0.880 0.325 0.197
4 Er 0.197 0.880 0.325
5 Er 0.579 0.579 0.579
6 Er 0.325 0.197 0.880
7 Er 0.421 0.421 0.421
8 Er 0.120 0.675 0.803
9 Th 0.735 0.927 0.465
10 Th 0.927 0.465 0.735
11 Th 0.465 0.735 0.927
12 Th 0.535 0.265 0.073
13 Th 0.265 0.073 0.535
14 Th 0.073 0.535 0.265
15 Dy 0.000 0.000 0.000

Output
DFT formation energy ... 0.152 eV/atom

Entry 6:
The following is a PBE calculation of Dy2Er8Th3 after structural relaxation, from Alexandria via LeMat-Bulk.

Cell: 6.572 9.212 8.678 Å, 122.06 81.85 90.00°
Positions (direct):
1 Th 0.500 0.000 0.000
2 Th 0.000 0.830 0.000
3 Th 0.000 0.170 0.000
4 Dy 0.792 0.785 0.571
5 Dy 0.208 0.215 0.429
6 Er 0.564 0.791 0.225
7 Er 0.286 0.803 0.607
8 Er 0.130 0.582 0.163
9 Er 0.714 0.197 0.393
10 Er 0.564 0.434 0.225
11 Er 0.436 0.209 0.775
12 Er 0.870 0.418 0.837
13 Er 0.436 0.566 0.775

Output
DFT formation energy ... 0.282 eV/atom

Entry 7:
The following is a PBE calculation of DyEr7Th3 after structural relaxation, from Alexandria via LeMat-Bulk.

Cell: 5.475 10.070 8.790 Å, 105.62 128.52 90.01°
Positions (direct):
1 Th 0.000 0.500 0.000
2 Th 0.722 0.999 0.222
3 Th 0.278 0.001 0.778
4 Er 0.085 0.171 0.085
5 Er 0.314 0.639 0.814
6 Er 0.915 0.829 0.915
7 Er 0.847 0.707 0.347
8 Er 0.500 0.000 0.500
9 Er 0.686 0.361 0.186
10 Er 0.153 0.293 0.653
11 Dy 0.500 0.500 0.500

Output
DFT formation energy ... 0.155 eV/atom

Entry 8:
The following is a PBE calculation of DyEr4Th after structural relaxation, from Alexandria via LeMat-Bulk.

Cell: 6.102 3.536 9.321 Å, 100.94 83.80 73.21°
Positions (direct):
1 Er 0.005 0.660 0.828
2 Er 0.998 0.334 0.168
3 Er 0.497 0.168 0.335
4 Er 0.506 0.827 0.661
5 Th 0.001 0.997 0.498
6 Dy 0.501 0.497 0.998

Output
DFT formation energy ... 0.026 eV/atom

Please write out number 2 again, unchanged.
The following is a PBE calculation of Dy4Er7Th after structural relaxation, from Alexandria via LeMat-Bulk.

Cell: 6.930 6.756 12.027 Å, 72.44 44.43 75.84°
Positions (direct):
1 Er 0.745 0.176 0.364
2 Er 0.500 0.000 0.000
3 Er 0.225 0.482 0.024
4 Er 0.255 0.824 0.636
5 Er 0.062 0.322 0.674
6 Er 0.938 0.678 0.326
7 Er 0.775 0.518 0.976
8 Dy 0.547 0.343 0.683
9 Dy 0.453 0.657 0.317
10 Dy 0.724 0.815 0.666
11 Dy 0.276 0.185 0.334
12 Th 0.000 0.000 0.000

Output
DFT formation energy ... 0.086 eV/atom

> Which of these has the highest DFT formation energy?

Dy10ErTh4

> Which of these has the lowest DFT formation energy?

DyEr4Th